(1)
# BaLi2Au, optimized geometry, DFT PBE-GGA
data_BaLi2Au
_chemical_formula_sum 'Ba1 Li2 Au1'
_symmetry_space_group_name_H-M 'P 1'
_symmetry_Int_Tables_number 1
_cell_length_a 5.431
_cell_length_b 5.431
_cell_length_c 5.431
_cell_angle_alpha 120.79
_cell_angle_beta 120.79
_cell_angle_gamma 88.65
loop_
_symmetry_equiv_pos_as_xyz
'x,y,z'
loop_
_atom_site_label
_atom_site_type_symbol
_atom_site_fract_x
_atom_site_fract_y
_atom_site_fract_z
Au1 Au 0.500 0.500 0.000
Ba1 Ba 0.750 0.250 0.500
Li1 Li 0.000 0.000 0.000
Li2 Li 0.250 0.750 0.500
# crystal system	tetragonal
# symmetry	I-4m2
# energy of formation from the pure elements	-0.2101	eV per atom
# VASP energy	-2.467	eV/atom

(2)
# Ba2Li3Au2, optimized geometry, DFT PBE-GGA
data_Ba2Li3Au2
_chemical_formula_sum 'Ba2 Li3 Au2'
_symmetry_space_group_name_H-M 'P 1'
_symmetry_Int_Tables_number 1
_cell_length_a 4.478
_cell_length_b 6.372
_cell_length_c 8.147
_cell_angle_alpha 114.35
_cell_angle_beta 90.00
_cell_angle_gamma 110.57
loop_
_symmetry_equiv_pos_as_xyz
'x,y,z'
loop_
_atom_site_label
_atom_site_type_symbol
_atom_site_fract_x
_atom_site_fract_y
_atom_site_fract_z
Ba1 Ba 0.871 0.742 0.228
Ba2 Ba 0.129 0.258 0.772
Li1 Li 0.500 0.000 0.000
Li2 Li 0.663 0.326 0.422
Li3 Li 0.337 0.674 0.578
Au1 Au 0.850 0.700 0.786
Au2 Au 0.150 0.300 0.214
# crystal system	monoclinic
# symmetry	C2/m
# energy of formation from the pure elements	-0.4377	eV per atom
# VASP energy	-2.744	eV/atom

(3)
# Ba2Li12Au7, optimized geometry, DFT PBE-GGA
data_Ba2Li12Au7
_chemical_formula_sum 'Ba2 Li12 Au7'
_symmetry_space_group_name_H-M 'P 1'
_symmetry_Int_Tables_number 1
_cell_length_a 4.423
_cell_length_b 10.405
_cell_length_c 10.405
_cell_angle_alpha 120.00
_cell_angle_beta 90.00
_cell_angle_gamma 90.00
loop_
_symmetry_equiv_pos_as_xyz
'x,y,z'
loop_
_atom_site_label
_atom_site_type_symbol
_atom_site_fract_x
_atom_site_fract_y
_atom_site_fract_z
Ba1 Ba 0.500 0.000 0.000
Ba2 Ba 0.000 0.667 0.333
Li1 Li 0.500 0.948 0.623
Li2 Li 0.500 0.675 0.052
Li3 Li 0.500 0.377 0.325
Li4 Li 0.500 0.260 0.785
Li5 Li 0.500 0.524 0.740
Li6 Li 0.500 0.215 0.476
Li7 Li 0.000 0.052 0.507
Li8 Li 0.000 0.455 0.948
Li9 Li 0.000 0.493 0.545
Li10 Li 0.000 0.815 0.714
Li11 Li 0.000 0.900 0.185
Li12 Li 0.000 0.286 0.100
Au1 Au 0.000 0.333 0.667
Au2 Au 0.000 0.109 0.797
Au3 Au 0.000 0.688 0.891
Au4 Au 0.000 0.203 0.312
Au5 Au 0.500 0.663 0.583
Au6 Au 0.500 0.920 0.337
Au7 Au 0.500 0.417 0.080
# crystal system	hexagonal
# symmetry	P-6
# energy of formation from the pure elements	-0.4666	eV per atom
# VASP energy	-2.836	eV/atom

(4)
# BaLi2Au, optimized geometry, DFT PBE-GGA
data_BaLi2Au
_chemical_formula_sum 'Ba1 Li2 Au1'
_symmetry_space_group_name_H-M 'P 1'
_symmetry_Int_Tables_number 1
_cell_length_a 3.831
_cell_length_b 3.831
_cell_length_c 6.915
_cell_angle_alpha 90.00
_cell_angle_beta 90.00
_cell_angle_gamma 90.00
loop_
_symmetry_equiv_pos_as_xyz
'x,y,z'
loop_
_atom_site_label
_atom_site_type_symbol
_atom_site_fract_x
_atom_site_fract_y
_atom_site_fract_z
Au1 Au 0.500 0.500 0.250
Ba1 Ba 0.500 0.500 0.750
Li1 Li 0.000 0.000 0.082
Li2 Li 0.000 0.000 0.418
# crystal system	tetragonal
# symmetry	P4/mmm
# energy of formation from the pure elements	-0.1837	eV per atom
# VASP energy	-2.441	eV/atom

(5)
# BaLi3Au3, optimized geometry, DFT PBE-GGA
data_BaLi3Au3
_chemical_formula_sum 'Ba2 Li6 Au6'
_symmetry_space_group_name_H-M 'P 1'
_symmetry_Int_Tables_number 1
_cell_length_a 7.000
_cell_length_b 7.000
_cell_length_c 8.672
_cell_angle_alpha 66.20
_cell_angle_beta 66.20
_cell_angle_gamma 60.00
loop_
_symmetry_equiv_pos_as_xyz
'x,y,z'
loop_
_atom_site_label
_atom_site_type_symbol
_atom_site_fract_x
_atom_site_fract_y
_atom_site_fract_z
Ba1 Ba 0.336 0.336 0.991
Ba2 Ba 0.664 0.664 0.009
Li1 Li 0.565 0.736 0.602
Li2 Li 0.736 0.097 0.602
Li3 Li 0.097 0.565 0.602
Li4 Li 0.903 0.435 0.398
Li5 Li 0.264 0.903 0.398
Li6 Li 0.435 0.264 0.398
Au1 Au 0.153 0.682 0.256
Au2 Au 0.909 0.153 0.256
Au3 Au 0.682 0.909 0.256
Au4 Au 0.318 0.091 0.744
Au5 Au 0.091 0.847 0.744
Au6 Au 0.847 0.318 0.744
# crystal system	trigonal
# symmetry	R-3
# energy of formation from the pure elements	-0.4441	eV per atom
# VASP energy	-2.944	eV/atom

(6)
# BaLi2Au, optimized geometry, DFT PBE-GGA
data_BaLi2Au
_chemical_formula_sum 'Ba1 Li2 Au1'
_symmetry_space_group_name_H-M 'P 1'
_symmetry_Int_Tables_number 1
_cell_length_a 6.556
_cell_length_b 4.576
_cell_length_c 4.516
_cell_angle_alpha 89.03
_cell_angle_beta 70.21
_cell_angle_gamma 110.07
loop_
_symmetry_equiv_pos_as_xyz
'x,y,z'
loop_
_atom_site_label
_atom_site_type_symbol
_atom_site_fract_x
_atom_site_fract_y
_atom_site_fract_z
Au1 Au 0.500 0.500 0.000
Ba1 Ba 0.500 0.000 0.500
Li1 Li 0.000 0.000 0.000
Li2 Li 0.000 0.500 0.500
# crystal system	monoclinic
# symmetry	C2/m
# energy of formation from the pure elements	-0.1568	eV per atom
# VASP energy	-2.414	eV/atom

(7)
# Ba5Li4Au4, optimized geometry, DFT PBE-GGA
data_Ba5Li4Au4
_chemical_formula_sum 'Ba5 Li4 Au4'
_symmetry_space_group_name_H-M 'P 1'
_symmetry_Int_Tables_number 1
_cell_length_a 4.721
_cell_length_b 9.495
_cell_length_c 9.495
_cell_angle_alpha 86.46
_cell_angle_beta 75.60
_cell_angle_gamma 75.60
loop_
_symmetry_equiv_pos_as_xyz
'x,y,z'
loop_
_atom_site_label
_atom_site_type_symbol
_atom_site_fract_x
_atom_site_fract_y
_atom_site_fract_z
Ba1 Ba 0.710 0.918 0.662
Ba2 Ba 0.290 0.082 0.338
Ba3 Ba 0.000 0.000 0.000
Ba4 Ba 0.628 0.662 0.082
Ba5 Ba 0.372 0.338 0.918
Li1 Li 0.904 0.528 0.665
Li2 Li 0.568 0.335 0.528
Li3 Li 0.096 0.472 0.335
Li4 Li 0.432 0.665 0.472
Au1 Au 0.729 0.324 0.218
Au2 Au 0.271 0.676 0.782
Au3 Au 0.947 0.782 0.324
Au4 Au 0.053 0.218 0.676
# crystal system	tetragonal
# symmetry	I4/m
# energy of formation from the pure elements	-0.4619	eV per atom
# VASP energy	-2.799	eV/atom

(8)
# BaLiAu2, optimized geometry, DFT PBE-GGA
data_BaLiAu2
_chemical_formula_sum 'Ba1 Li1 Au2'
_symmetry_space_group_name_H-M 'P 1'
_symmetry_Int_Tables_number 1
_cell_length_a 5.194
_cell_length_b 5.194
_cell_length_c 5.194
_cell_angle_alpha 60.00
_cell_angle_beta 60.00
_cell_angle_gamma 60.00
loop_
_symmetry_equiv_pos_as_xyz
'x,y,z'
loop_
_atom_site_label
_atom_site_type_symbol
_atom_site_fract_x
_atom_site_fract_y
_atom_site_fract_z
Au1 Au 0.000 0.000 0.000
Au2 Au 0.250 0.250 0.250
Ba1 Ba 0.500 0.500 0.500
Li1 Li 0.750 0.750 0.750
# crystal system	cubic
# symmetry	F-43m
# energy of formation from the pure elements	-0.3672	eV per atom
# VASP energy	-2.965	eV/atom